The following is a GGA-PBEsol calculation of an optimized crystal structure of Mg3ZrMo, from the Alexandria database.

a b c (Å): 4.9098 4.9098 4.9098
angles (deg): 90.00 90.00 90.00
Each line ends with the local moment (μB).
Element x y z (fractional)
Mo: 0.0000 0.0000 0.0000  0.60
Mg: 0.0000 0.5000 0.0000  0.01
Mg: 0.0000 0.0000 0.5000  0.01
Mg: 0.5000 0.0000 0.0000  0.01
Zr: 0.5000 0.5000 0.5000  -0.04

Output
energy: -3.96 eV per atom
space-group type: Pm-3m (221)
spin magnetization: 0.6 μB per formula unit